This record from Alexandria describes a relaxed AgPPb2 crystal. The functional is GGA-PBE.

abc: 7.319 7.319 7.319
angles: 90.00 90.00 90.00
Space group F-43m (No. 216)
One atom of each set of equivalent atoms:
Ag (0.000, 0.000, 0.000)
P (0.250, 0.250, 0.250)
Pb (0.000, 0.000, 0.500)
Pb (0.250, 0.250, 0.750)

Summary:
ΔH_f (0 K)	0.431	eV/atom
total magnetization	0.00	μB per cell